(1)
# Li10Cd3 | OQMD | PBE | optimized geometry
data_Li10Cd3
_chemical_formula_sum 'Li20 Cd6'
_symmetry_space_group_name_H-M 'P 63/m m c'
_symmetry_Int_Tables_number 194
_symmetry_space_group_name_Hall '-P 6c 2c'
_cell_length_a 8.2397
_cell_length_b 8.2397
_cell_length_c 7.9610
_cell_angle_alpha 90.00
_cell_angle_beta 90.00
_cell_angle_gamma 120.00
loop_
_atom_site_label
_atom_site_type_symbol
_atom_site_fract_x
_atom_site_fract_y
_atom_site_fract_z
_atom_site_occupancy
Li1 Li 0.0000 0.0000 0.0000 1
Li2 Li 0.0942 0.5471 0.2500 1
Li3 Li 0.2113 0.4225 0.5699 1
Cd1 Cd 0.1224 0.2448 0.2500 1
# * raw total energy: -1.776 eV/atom
# * density: 2.9 g/cm³

---

(2)
# CuAg4 | OQMD | PBE | optimized geometry
data_CuAg4
_chemical_formula_sum 'Cu4 Ag16'
_symmetry_space_group_name_H-M 'C m c m'
_symmetry_Int_Tables_number 63
_symmetry_space_group_name_Hall '-C 2c 2'
_cell_length_a 4.069
_cell_length_b 20.230
_cell_length_c 4.067
_cell_angle_alpha 90.00
_cell_angle_beta 90.00
_cell_angle_gamma 90.00
loop_
_atom_site_label
_atom_site_type_symbol
_atom_site_fract_x
_atom_site_fract_y
_atom_site_fract_z
_atom_site_occupancy
Cu1 Cu 0.000 0.151 0.250 1
Ag1 Ag 0.000 0.053 0.750 1
Ag2 Ag 0.000 0.250 0.750 1
Ag3 Ag 0.000 0.349 0.250 1
Ag4 Ag 0.000 0.447 0.750 1
# * raw total energy: -2.945 eV/atom
# * formation energy from the elements: 0.06 eV/atom
# * density: 9.8 g/cm³

---

(3)
# Zr2GePt2Pb | OQMD | PBE | optimized geometry
data_Zr2GePt2Pb
_chemical_formula_sum 'Zr8 Ge4 Pt8 Pb4'
_symmetry_space_group_name_H-M 'P 1 m 1'
_symmetry_Int_Tables_number 6
_symmetry_space_group_name_Hall 'P -2y'
_cell_length_a 11.012
_cell_length_b 4.494
_cell_length_c 11.032
_cell_angle_alpha 90.00
_cell_angle_beta 109.49
_cell_angle_gamma 90.00
loop_
_atom_site_label
_atom_site_type_symbol
_atom_site_fract_x
_atom_site_fract_y
_atom_site_fract_z
_atom_site_occupancy
Zr1 Zr 0.000 0.000 0.000 1
Zr2 Zr 0.116 0.500 0.373 1
Zr3 Zr 0.239 0.000 0.743 1
Zr4 Zr 0.375 0.500 0.134 1
Zr5 Zr 0.497 0.000 0.500 1
Zr6 Zr 0.623 0.500 0.867 1
Zr7 Zr 0.746 0.000 0.256 1
Zr8 Zr 0.867 0.500 0.621 1
Ge1 Ge 0.247 0.000 0.252 1
Ge2 Ge 0.621 0.500 0.377 1
Ge3 Ge 0.746 0.000 0.746 1
Ge4 Ge 0.992 0.000 0.498 1
Pt1 Pt 0.131 0.500 0.134 1
Pt2 Pt 0.234 0.000 0.489 1
Pt3 Pt 0.370 0.500 0.873 1
Pt4 Pt 0.499 0.000 0.261 1
Pt5 Pt 0.626 0.500 0.622 1
Pt6 Pt 0.748 0.000 0.987 1
Pt7 Pt 0.867 0.500 0.380 1
Pt8 Pt 0.986 0.000 0.739 1
Pb1 Pb 0.119 0.500 0.875 1
Pb2 Pb 0.369 0.500 0.621 1
Pb3 Pb 0.498 0.000 0.001 1
Pb4 Pb 0.870 0.500 0.124 1
# * raw total energy: -7.097 eV/atom
# * density: 11.0 g/cm³

---

(4)
# NaZnFe2 | OQMD | PBE | optimized geometry
data_NaZnFe2
_chemical_formula_sum 'Na4 Zn4 Fe8'
_symmetry_space_group_name_H-M 'F -4 3 m'
_symmetry_Int_Tables_number 216
_symmetry_space_group_name_Hall 'F -4 2 3'
_cell_length_a 6.143
_cell_length_b 6.143
_cell_length_c 6.143
_cell_angle_alpha 90.00
_cell_angle_beta 90.00
_cell_angle_gamma 90.00
loop_
_atom_site_label
_atom_site_type_symbol
_atom_site_fract_x
_atom_site_fract_y
_atom_site_fract_z
_atom_site_occupancy
Na1 Na 0.000 0.000 0.000 1
Zn1 Zn 0.250 0.250 0.750 1
Fe1 Fe 0.000 0.000 0.500 1
Fe2 Fe 0.250 0.250 0.250 1
# * raw total energy: -4.235 eV/atom
# * density: 5.7 g/cm³

---

(5)
# TaTe4Os | OQMD | PBE | optimized geometry
data_TaTe4Os
_chemical_formula_sum 'Ta4 Te16 Os4'
_symmetry_space_group_name_H-M 'P m n 21'
_symmetry_Int_Tables_number 31
_symmetry_space_group_name_Hall 'P 2ac -2'
_cell_length_a 3.771
_cell_length_b 12.465
_cell_length_c 13.702
_cell_angle_alpha 90.00
_cell_angle_beta 90.00
_cell_angle_gamma 90.00
loop_
_atom_site_label
_atom_site_type_symbol
_atom_site_fract_x
_atom_site_fract_y
_atom_site_fract_z
_atom_site_occupancy
Ta1 Ta 0.000 0.059 0.000 1
Ta2 Ta 0.000 0.276 0.483 1
Te1 Te 0.000 0.065 0.389 1
Te2 Te 0.000 0.197 0.847 1
Te3 Te 0.000 0.346 0.086 1
Te4 Te 0.000 0.418 0.632 1
Te5 Te 0.000 0.564 0.393 1
Te6 Te 0.000 0.676 0.841 1
Te7 Te 0.000 0.848 0.097 1
Te8 Te 0.000 0.893 0.642 1
Os1 Os 0.000 0.545 0.997 1
Os2 Os 0.000 0.764 0.482 1
# * raw total energy: -6.177 eV/atom
# * density: 9.1 g/cm³

---

(6)
# CuAg3 | OQMD | PBE | optimized geometry
data_CuAg3
_chemical_formula_sum 'Cu1 Ag3'
_symmetry_space_group_name_H-M 'P 4/m m m'
_symmetry_Int_Tables_number 123
_symmetry_space_group_name_Hall '-P 4 2'
_cell_length_a 2.876
_cell_length_b 2.876
_cell_length_c 7.935
_cell_angle_alpha 90.00
_cell_angle_beta 90.00
_cell_angle_gamma 90.00
loop_
_atom_site_label
_atom_site_type_symbol
_atom_site_fract_x
_atom_site_fract_y
_atom_site_fract_z
_atom_site_occupancy
Cu1 Cu 0.000 0.000 0.000 1
Ag1 Ag 0.000 0.000 0.500 1
Ag2 Ag 0.500 0.500 0.230 1
# * raw total energy: -2.996 eV/atom
# * formation energy from the elements: 0.05 eV/atom
# * density: 9.8 g/cm³

---

(7)
# CuHgBW | OQMD | PBE | optimized geometry
data_CuHgBW
_chemical_formula_sum 'Cu4 Hg4 B4 W4'
_symmetry_space_group_name_H-M 'F -4 3 m'
_symmetry_Int_Tables_number 216
_symmetry_space_group_name_Hall 'F -4 2 3'
_cell_length_a 6.230
_cell_length_b 6.230
_cell_length_c 6.230
_cell_angle_alpha 90.00
_cell_angle_beta 90.00
_cell_angle_gamma 90.00
loop_
_atom_site_label
_atom_site_type_symbol
_atom_site_fract_x
_atom_site_fract_y
_atom_site_fract_z
_atom_site_occupancy
Cu1 Cu 0.000 0.000 0.000 1
Hg1 Hg 0.000 0.000 0.500 1
B1 B 0.250 0.250 0.750 1
W1 W 0.250 0.250 0.250 1
# * raw total energy: -4.223 eV/atom
# * density: 12.6 g/cm³

---

(8)
# Er2Ni2Sn | OQMD | PBE | optimized geometry
data_Er2Ni2Sn
_chemical_formula_sum 'Er4 Ni4 Sn2'
_symmetry_space_group_name_H-M 'P 4/m b m'
_symmetry_Int_Tables_number 127
_symmetry_space_group_name_Hall '-P 4 2ab'
_cell_length_a 7.271
_cell_length_b 7.271
_cell_length_c 3.644
_cell_angle_alpha 90.00
_cell_angle_beta 90.00
_cell_angle_gamma 90.00
loop_
_atom_site_label
_atom_site_type_symbol
_atom_site_fract_x
_atom_site_fract_y
_atom_site_fract_z
_atom_site_occupancy
Er1 Er 0.173 0.327 0.000 1
Ni1 Ni 0.123 0.623 0.500 1
Sn1 Sn 0.000 0.000 0.500 1
# * raw total energy: -5.471 eV/atom
# * density: 9.8 g/cm³

---

(9)
# KTlSnPt | OQMD | PBE | optimized geometry
data_KTlSnPt
_chemical_formula_sum 'K4 Tl4 Sn4 Pt4'
_symmetry_space_group_name_H-M 'C m c 21'
_symmetry_Int_Tables_number 36
_symmetry_space_group_name_Hall 'C 2c -2'
_cell_length_a 4.486
_cell_length_b 12.387
_cell_length_c 7.992
_cell_angle_alpha 90.00
_cell_angle_beta 90.00
_cell_angle_gamma 90.00
loop_
_atom_site_label
_atom_site_type_symbol
_atom_site_fract_x
_atom_site_fract_y
_atom_site_fract_z
_atom_site_occupancy
K1 K 0.000 0.050 0.000 1
Tl1 Tl 0.000 0.363 0.193 1
Sn1 Sn 0.000 0.323 0.795 1
Pt1 Pt 0.000 0.223 0.485 1
# * raw total energy: -3.688 eV/atom
# * density: 8.3 g/cm³

---

(10)
# TbTlCo | OQMD | PBE | optimized geometry
data_TbTlCo
_chemical_formula_sum 'Tb4 Tl4 Co4'
_symmetry_space_group_name_H-M 'F -4 3 m'
_symmetry_Int_Tables_number 216
_symmetry_space_group_name_Hall 'F -4 2 3'
_cell_length_a 6.476
_cell_length_b 6.476
_cell_length_c 6.476
_cell_angle_alpha 90.00
_cell_angle_beta 90.00
_cell_angle_gamma 90.00
loop_
_atom_site_label
_atom_site_type_symbol
_atom_site_fract_x
_atom_site_fract_y
_atom_site_fract_z
_atom_site_occupancy
Tb1 Tb 0.000 0.000 0.000 1
Tl1 Tl 0.000 0.000 0.500 1
Co1 Co 0.250 0.250 0.250 1
# * raw total energy: -4.698 eV/atom
# * density: 10.3 g/cm³

---

(11)
# Sr2Dy2O5 | OQMD | PBE | optimized geometry
data_Sr2Dy2O5
_chemical_formula_sum 'Sr2 Dy2 O5'
_symmetry_space_group_name_H-M 'P 4/m m m'
_symmetry_Int_Tables_number 123
_symmetry_space_group_name_Hall '-P 4 2'
_cell_length_a 4.116
_cell_length_b 4.116
_cell_length_c 9.291
_cell_angle_alpha 90.00
_cell_angle_beta 90.00
_cell_angle_gamma 90.00
loop_
_atom_site_label
_atom_site_type_symbol
_atom_site_fract_x
_atom_site_fract_y
_atom_site_fract_z
_atom_site_occupancy
Sr1 Sr 0.000 0.000 0.237 1
Dy1 Dy 0.500 0.500 0.000 1
Dy2 Dy 0.500 0.500 0.500 1
O1 O 0.000 0.000 0.500 1
O2 O 0.000 0.500 0.136 1
# * raw total energy: -6.219 eV/atom
# * density: 6.1 g/cm³

---

(12)
# YHoGa6 | OQMD | PBE | optimized geometry
data_YHoGa6
_chemical_formula_sum 'Y1 Ho1 Ga6'
_symmetry_space_group_name_H-M 'P -6 m 2'
_symmetry_Int_Tables_number 187
_symmetry_space_group_name_Hall 'P -6 2'
_cell_length_a 6.2561
_cell_length_b 6.2561
_cell_length_c 4.5605
_cell_angle_alpha 90.00
_cell_angle_beta 90.00
_cell_angle_gamma 120.00
loop_
_atom_site_label
_atom_site_type_symbol
_atom_site_fract_x
_atom_site_fract_y
_atom_site_fract_z
_atom_site_occupancy
Y1 Y 0.0000 0.0000 0.0000 1
Ho1 Ho 0.3333 0.6667 0.5000 1
Ga1 Ga 0.3701 0.1851 0.5000 1
Ga2 Ga 0.5182 0.0364 0.0000 1
# * raw total energy: -4.183 eV/atom
# * density: 7.2 g/cm³

---

(13)
# ScCu2Sn | OQMD | PBE | optimized geometry
data_ScCu2Sn
_chemical_formula_sum 'Sc4 Cu8 Sn4'
_symmetry_space_group_name_H-M 'F -4 3 m'
_symmetry_Int_Tables_number 216
_symmetry_space_group_name_Hall 'F -4 2 3'
_cell_length_a 6.468
_cell_length_b 6.468
_cell_length_c 6.468
_cell_angle_alpha 90.00
_cell_angle_beta 90.00
_cell_angle_gamma 90.00
loop_
_atom_site_label
_atom_site_type_symbol
_atom_site_fract_x
_atom_site_fract_y
_atom_site_fract_z
_atom_site_occupancy
Sc1 Sc 0.000 0.000 0.000 1
Cu1 Cu 0.000 0.000 0.500 1
Cu2 Cu 0.250 0.250 0.250 1
Sn1 Sn 0.250 0.250 0.750 1
# * raw total energy: -4.633 eV/atom
# * density: 7.1 g/cm³

---

(14)
# HoPd2Pb | OQMD | PBE | optimized geometry
data_HoPd2Pb
_chemical_formula_sum 'Ho2 Pd4 Pb2'
_symmetry_space_group_name_H-M 'P m c 21'
_symmetry_Int_Tables_number 26
_symmetry_space_group_name_Hall 'P 2c -2'
_cell_length_a 4.189
_cell_length_b 5.937
_cell_length_c 6.834
_cell_angle_alpha 90.00
_cell_angle_beta 90.00
_cell_angle_gamma 90.00
loop_
_atom_site_label
_atom_site_type_symbol
_atom_site_fract_x
_atom_site_fract_y
_atom_site_fract_z
_atom_site_occupancy
Ho1 Ho 0.000 0.134 0.000 1
Pd1 Pd 0.000 0.399 0.362 1
Pd2 Pd 0.500 0.092 0.286 1
Pb1 Pb 0.500 0.366 0.650 1
# * raw total energy: -5.274 eV/atom
# * density: 11.4 g/cm³

---

(15)
# TbSm2N3 | OQMD | PBE | optimized geometry
data_TbSm2N3
_chemical_formula_sum 'Tb1 Sm2 N3'
_symmetry_space_group_name_H-M 'P -3 m 1'
_symmetry_Int_Tables_number 164
_symmetry_space_group_name_Hall '-P 3 2"'
_cell_length_a 3.5354
_cell_length_b 3.5354
_cell_length_c 8.6596
_cell_angle_alpha 90.00
_cell_angle_beta 90.00
_cell_angle_gamma 120.00
loop_
_atom_site_label
_atom_site_type_symbol
_atom_site_fract_x
_atom_site_fract_y
_atom_site_fract_z
_atom_site_occupancy
Tb1 Tb 0.0000 0.0000 0.0000 1
Sm1 Sm 0.3333 0.6667 0.3311 1
N1 N 0.0000 0.0000 0.5000 1
N2 N 0.3333 0.6667 0.8382 1
# * raw total energy: -8.043 eV/atom
# * density: 8.9 g/cm³

---

(16)
# HfIn2W | OQMD | PBE | optimized geometry
data_HfIn2W
_chemical_formula_sum 'Hf4 In8 W4'
_symmetry_space_group_name_H-M 'F -4 3 m'
_symmetry_Int_Tables_number 216
_symmetry_space_group_name_Hall 'F -4 2 3'
_cell_length_a 6.853
_cell_length_b 6.853
_cell_length_c 6.853
_cell_angle_alpha 90.00
_cell_angle_beta 90.00
_cell_angle_gamma 90.00
loop_
_atom_site_label
_atom_site_type_symbol
_atom_site_fract_x
_atom_site_fract_y
_atom_site_fract_z
_atom_site_occupancy
Hf1 Hf 0.000 0.000 0.000 1
In1 In 0.000 0.000 0.500 1
In2 In 0.250 0.250 0.250 1
W1 W 0.250 0.250 0.750 1
# * raw total energy: -6.586 eV/atom
# * density: 12.2 g/cm³

---

(17)
# TlPtW2 | OQMD | PBE | optimized geometry
data_TlPtW2
_chemical_formula_sum 'Tl4 Pt4 W8'
_symmetry_space_group_name_H-M 'F -4 3 m'
_symmetry_Int_Tables_number 216
_symmetry_space_group_name_Hall 'F -4 2 3'
_cell_length_a 6.541
_cell_length_b 6.541
_cell_length_c 6.541
_cell_angle_alpha 90.00
_cell_angle_beta 90.00
_cell_angle_gamma 90.00
loop_
_atom_site_label
_atom_site_type_symbol
_atom_site_fract_x
_atom_site_fract_y
_atom_site_fract_z
_atom_site_occupancy
Tl1 Tl 0.000 0.000 0.000 1
Pt1 Pt 0.250 0.250 0.250 1
W1 W 0.000 0.000 0.500 1
W2 W 0.250 0.250 0.750 1
# * raw total energy: -7.871 eV/atom
# * density: 18.2 g/cm³

---

(18)
# Zn6CdHg | OQMD | PBE | optimized geometry
data_Zn6CdHg
_chemical_formula_sum 'Zn6 Cd1 Hg1'
_symmetry_space_group_name_H-M 'P -6 m 2'
_symmetry_Int_Tables_number 187
_symmetry_space_group_name_Hall 'P -6 2'
_cell_length_a 6.0487
_cell_length_b 6.0487
_cell_length_c 4.3321
_cell_angle_alpha 90.00
_cell_angle_beta 90.00
_cell_angle_gamma 120.00
loop_
_atom_site_label
_atom_site_type_symbol
_atom_site_fract_x
_atom_site_fract_y
_atom_site_fract_z
_atom_site_occupancy
Zn1 Zn 0.0172 0.5086 0.0000 1
Zn2 Zn 0.1785 0.3570 0.5000 1
Cd1 Cd 0.6667 0.3333 0.5000 1
Hg1 Hg 0.0000 0.0000 0.0000 1
# * raw total energy: -1.014 eV/atom
# * formation energy from the elements: 0.08 eV/atom
# * density: 8.5 g/cm³

---

(19)
# Hf2Cu3Pt | OQMD | PBE | optimized geometry
data_Hf2Cu3Pt
_chemical_formula_sum 'Hf2 Cu3 Pt1'
_symmetry_space_group_name_H-M 'P 4 m m'
_symmetry_Int_Tables_number 99
_symmetry_space_group_name_Hall 'P 4 -2'
_cell_length_a 3.380
_cell_length_b 3.380
_cell_length_c 8.287
_cell_angle_alpha 90.00
_cell_angle_beta 90.00
_cell_angle_gamma 90.00
loop_
_atom_site_label
_atom_site_type_symbol
_atom_site_fract_x
_atom_site_fract_y
_atom_site_fract_z
_atom_site_occupancy
Hf1 Hf 0.000 0.000 0.000 1
Hf2 Hf 0.500 0.500 0.498 1
Cu1 Cu 0.000 0.000 0.321 1
Cu2 Cu 0.500 0.500 0.170 1
Cu3 Cu 0.500 0.500 0.835 1
Pt1 Pt 0.000 0.000 0.663 1
# * raw total energy: -6.627 eV/atom
# * formation energy from the elements: -0.44 eV/atom
# * density: 13.0 g/cm³

---

(20)
# NaPtAu3O4 | OQMD | PBE | optimized geometry
data_NaPtAu3O4
_chemical_formula_sum 'Na1 Pt1 Au3 O4'
_symmetry_space_group_name_H-M 'P -4 3 m'
_symmetry_Int_Tables_number 215
_symmetry_space_group_name_Hall 'P -4 2 3'
_cell_length_a 5.347
_cell_length_b 5.347
_cell_length_c 5.347
_cell_angle_alpha 90.00
_cell_angle_beta 90.00
_cell_angle_gamma 90.00
loop_
_atom_site_label
_atom_site_type_symbol
_atom_site_fract_x
_atom_site_fract_y
_atom_site_fract_z
_atom_site_occupancy
Na1 Na 0.000 0.000 0.000 1
Pt1 Pt 0.500 0.500 0.500 1
Au1 Au 0.000 0.500 0.500 1
O1 O 0.247 0.247 0.247 1
# * raw total energy: -3.739 eV/atom
# * density: 9.5 g/cm³